# 1
Density functional theory data (PBE) for crystalline Rb2TeIrO6 at its relaxed geometry.

The structure in POSCAR format:
```
Rb2TeIrO6
1.0
3.037 1.753 9.909
-3.037 1.753 9.909
0.000 -3.507 9.909
Rb Te Ir O
4 2 2 12
direct
0.128 0.128 0.128 Rb
0.283 0.283 0.283 Rb
0.717 0.717 0.717 Rb
0.872 0.872 0.872 Rb
0.000 0.000 0.000 Te
0.500 0.500 0.500 Te
0.407 0.407 0.407 Ir
0.593 0.593 0.593 Ir
0.173 0.597 0.597 O
0.211 0.211 0.700 O
0.211 0.700 0.211 O
0.300 0.789 0.789 O
0.403 0.403 0.827 O
0.403 0.827 0.403 O
0.597 0.173 0.597 O
0.597 0.597 0.173 O
0.700 0.211 0.211 O
0.789 0.300 0.789 O
0.789 0.789 0.300 O
0.827 0.403 0.403 O
```

=====

# 2
Density functional theory data (PBE) for crystalline RbTe2IrO8 at its relaxed geometry.

The structure in POSCAR format:
```
RbTe2IrO8
1.0
5.607 0.000 0.000
-2.803 4.856 0.000
0.000 0.000 8.076
Rb Te Ir O
1 2 1 8
direct
0.000 0.000 0.000 Rb
0.333 0.667 0.654 Te
0.667 0.333 0.346 Te
0.000 0.000 0.500 Ir
0.004 0.712 0.366 O
0.288 0.292 0.366 O
0.292 0.004 0.634 O
0.333 0.667 0.879 O
0.667 0.333 0.121 O
0.708 0.996 0.366 O
0.712 0.708 0.634 O
0.996 0.288 0.634 O
```

=====

# 3
Density functional theory data (PBE) for crystalline RbThIrO6 at its relaxed geometry.

The structure in POSCAR format:
```
RbThIrO6
1.0
-3.744 3.873 5.070
3.744 -3.873 5.070
3.744 3.873 -5.070
Rb Th Ir O
2 2 2 12
direct
0.349 0.099 0.250 Rb
0.651 0.901 0.750 Rb
0.000 0.500 0.500 Th
0.500 0.500 0.000 Th
0.000 0.000 0.500 Ir
0.000 0.500 0.000 Ir
0.044 0.341 0.141 O
0.044 0.902 0.703 O
0.073 0.323 0.750 O
0.301 0.098 0.641 O
0.301 0.659 0.203 O
0.355 0.605 0.750 O
0.645 0.395 0.250 O
0.699 0.341 0.797 O
0.699 0.902 0.359 O
0.927 0.677 0.250 O
0.956 0.098 0.297 O
0.956 0.659 0.859 O
```

=====

# 4
Density functional theory data (PBE) for crystalline Rb2TiIr3O12 at its relaxed geometry.

The structure in POSCAR format:
```
Rb2TiIr3O12
1.0
3.613 2.086 5.965
-3.613 2.086 5.965
0.000 -4.172 5.965
Rb Ti Ir O
2 1 3 12
direct
0.124 0.124 0.124 Rb
0.876 0.876 0.876 Rb
0.500 0.500 0.500 Ti
0.000 0.500 0.500 Ir
0.500 0.000 0.500 Ir
0.500 0.500 0.000 Ir
0.179 0.179 0.573 O
0.179 0.573 0.179 O
0.184 0.562 0.562 O
0.427 0.821 0.821 O
0.438 0.438 0.816 O
0.438 0.816 0.438 O
0.562 0.184 0.562 O
0.562 0.562 0.184 O
0.573 0.179 0.179 O
0.816 0.438 0.438 O
0.821 0.427 0.821 O
0.821 0.821 0.427 O
```

=====

# 5
Density functional theory data (PBE) for crystalline RbTiIrO6 at its relaxed geometry.

The structure in POSCAR format:
```
RbTiIrO6
1.0
5.248 0.000 0.000
-2.624 4.545 0.000
0.000 0.000 6.357
Rb Ti Ir O
1 1 1 6
direct
0.000 0.000 0.000 Rb
0.333 0.667 0.500 Ti
0.667 0.333 0.500 Ir
0.399 0.008 0.672 O
0.399 0.391 0.328 O
0.609 0.008 0.328 O
0.609 0.601 0.672 O
0.992 0.391 0.672 O
0.992 0.601 0.328 O
```

=====

# 6
Density functional theory data (PBE) for crystalline Rb2Tl2IrO6 at its relaxed geometry.

The structure in POSCAR format:
```
Rb2Tl2IrO6
1.0
3.018 -5.094 0.000
3.018 5.094 0.000
-2.052 0.000 6.452
Rb Tl Ir O
2 2 1 6
direct
0.172 0.828 0.000 Rb
0.828 0.172 0.000 Rb
0.336 0.664 0.500 Tl
0.664 0.336 0.500 Tl
0.000 0.000 0.500 Ir
0.055 0.339 0.668 O
0.220 0.220 0.331 O
0.339 0.055 0.668 O
0.661 0.945 0.332 O
0.780 0.780 0.669 O
0.945 0.661 0.332 O
```

=====

The evaluated formation energy from raw total energies for the records listed, in turn: -1.071 -0.902 -1.756 -1.227 -1.533 -0.998 eV per atom.
The evaluated total energy for the records listed, in turn: -5.4397 -5.5505 -6.9775 -6.5557 -6.8078 -5.1144 eV/atom.